# GGA-PBE Th2TaPtN5, optimized geometry
# * formation energy from raw total energies: -937 meV/atom
data_Th2TaPtN5
_symmetry_space_group_name_H-M 'C m c 21'
_symmetry_Int_Tables_number 36
_symmetry_space_group_name_Hall 'C 2c -2'
_cell_length_a 3.405
_cell_length_b 13.290
_cell_length_c 10.689
_cell_angle_alpha 90.00
_cell_angle_beta 90.00
_cell_angle_gamma 90.00
loop_
_atom_site_label
_atom_site_type_symbol
_atom_site_fract_x
_atom_site_fract_y
_atom_site_fract_z
Th1 Th 0.000 0.099 0.000
Th2 Th 0.000 0.145 0.624
Ta1 Ta 0.000 0.203 0.336
Pt1 Pt 0.000 0.473 0.768
N1 N 0.000 0.063 0.400
N2 N 0.000 0.277 0.966
N3 N 0.000 0.320 0.698
N4 N 0.000 0.365 0.314
N5 N 0.000 0.485 0.083

---

# GGA-PBE Be2Cd2Se, optimized geometry
# * energy above the lowest structure with this stoichiometry: 222 meV per atom
# * formation energy from raw total energies: 517 meV/atom
data_Be2Cd2Se
_symmetry_space_group_name_H-M 'I 4/m m m'
_symmetry_Int_Tables_number 139
_symmetry_space_group_name_Hall '-I 4 2'
_cell_length_a 3.922
_cell_length_b 3.922
_cell_length_c 11.760
_cell_angle_alpha 90.00
_cell_angle_beta 90.00
_cell_angle_gamma 90.00
loop_
_atom_site_label
_atom_site_type_symbol
_atom_site_fract_x
_atom_site_fract_y
_atom_site_fract_z
Be1 Be 0.000 0.000 0.089
Cd1 Cd 0.000 0.500 0.250
Se1 Se 0.000 0.000 0.500

---

# GGA-PBE BeP2OsO, optimized geometry
# * energy above the lowest structure with this stoichiometry: 0 meV per atom
# * formation energy from raw total energies: 196 meV/atom
data_BeP2OsO
_symmetry_space_group_name_H-M 'P 4/m m m'
_symmetry_Int_Tables_number 123
_symmetry_space_group_name_Hall '-P 4 2'
_cell_length_a 4.626
_cell_length_b 4.626
_cell_length_c 2.872
_cell_angle_alpha 90.00
_cell_angle_beta 90.00
_cell_angle_gamma 90.00
loop_
_atom_site_label
_atom_site_type_symbol
_atom_site_fract_x
_atom_site_fract_y
_atom_site_fract_z
Be1 Be 0.000 0.000 0.000
P1 P 0.000 0.500 0.000
Os1 Os 0.500 0.500 0.500
O1 O 0.000 0.000 0.500

---

# GGA-PBE Ac2LaP3, optimized geometry
# * energy of formation from the pure elements: -1.495 eV/atom
data_Ac2LaP3
_symmetry_space_group_name_H-M 'I m m m'
_symmetry_Int_Tables_number 71
_symmetry_space_group_name_Hall '-I 2 2'
_cell_length_a 4.394
_cell_length_b 6.216
_cell_length_c 13.176
_cell_angle_alpha 90.00
_cell_angle_beta 90.00
_cell_angle_gamma 90.00
loop_
_atom_site_label
_atom_site_type_symbol
_atom_site_fract_x
_atom_site_fract_y
_atom_site_fract_z
Ac1 Ac 0.000 0.000 0.167
La1 La 0.000 0.000 0.500
P1 P 0.000 0.500 0.161
P2 P 0.000 0.500 0.500

---

# GGA-PBE MnCuMo2, optimized geometry
# * energy above the lowest structure with this stoichiometry: 48 meV per atom
# * energy of formation from the pure elements: 0.236 eV/atom
data_MnCuMo2
_symmetry_space_group_name_H-M 'P 4 m m'
_symmetry_Int_Tables_number 99
_symmetry_space_group_name_Hall 'P 4 -2'
_cell_length_a 2.643
_cell_length_b 2.643
_cell_length_c 8.164
_cell_angle_alpha 90.00
_cell_angle_beta 90.00
_cell_angle_gamma 90.00
loop_
_atom_site_label
_atom_site_type_symbol
_atom_site_fract_x
_atom_site_fract_y
_atom_site_fract_z
Mn1 Mn 0.000 0.000 0.000
Cu1 Cu 0.500 0.500 0.777
Mo1 Mo 0.000 0.000 0.532
Mo2 Mo 0.500 0.500 0.247

---

# GGA-PBE PuHf2Pt, optimized geometry
# * energy above the lowest structure with this stoichiometry: 0 meV per atom
# * energy of formation from the pure elements: -0.458 eV/atom
data_PuHf2Pt
_symmetry_space_group_name_H-M 'P 4/m m m'
_symmetry_Int_Tables_number 123
_symmetry_space_group_name_Hall '-P 4 2'
_cell_length_a 3.314
_cell_length_b 3.314
_cell_length_c 7.524
_cell_angle_alpha 90.00
_cell_angle_beta 90.00
_cell_angle_gamma 90.00
loop_
_atom_site_label
_atom_site_type_symbol
_atom_site_fract_x
_atom_site_fract_y
_atom_site_fract_z
Pu1 Pu 0.000 0.000 0.000
Hf1 Hf 0.500 0.500 0.281
Pt1 Pt 0.000 0.000 0.500

---

# GGA-PBE LiEr2Tm, optimized geometry
# * energy above the lowest structure with this stoichiometry: 0 meV per atom
# * energy of formation from the pure elements: 0.073 eV/atom
data_LiEr2Tm
_symmetry_space_group_name_H-M 'P 4/m m m'
_symmetry_Int_Tables_number 123
_symmetry_space_group_name_Hall '-P 4 2'
_cell_length_a 3.557
_cell_length_b 3.557
_cell_length_c 8.708
_cell_angle_alpha 90.00
_cell_angle_beta 90.00
_cell_angle_gamma 90.00
loop_
_atom_site_label
_atom_site_type_symbol
_atom_site_fract_x
_atom_site_fract_y
_atom_site_fract_z
Li1 Li 0.000 0.000 0.000
Er1 Er 0.500 0.500 0.225
Tm1 Tm 0.000 0.000 0.500

---

# GGA-PBE Na2TcB, optimized geometry
# * energy of formation from the pure elements: 0.996 eV/atom
data_Na2TcB
_symmetry_space_group_name_H-M 'I -4 2 d'
_symmetry_Int_Tables_number 122
_symmetry_space_group_name_Hall 'I -4 2bw'
_cell_length_a 9.967
_cell_length_b 9.967
_cell_length_c 4.046
_cell_angle_alpha 90.00
_cell_angle_beta 90.00
_cell_angle_gamma 90.00
loop_
_atom_site_label
_atom_site_type_symbol
_atom_site_fract_x
_atom_site_fract_y
_atom_site_fract_z
Na1 Na 0.095 0.250 0.125
Tc1 Tc 0.000 0.000 0.500
B1 B 0.000 0.000 0.000

---

# GGA-PBE Li2TlV, optimized geometry
# * energy of formation from the pure elements: 0.453 eV/atom
data_Li2TlV
_symmetry_space_group_name_H-M 'I -4 2 d'
_symmetry_Int_Tables_number 122
_symmetry_space_group_name_Hall 'I -4 2bw'
_cell_length_a 7.470
_cell_length_b 7.470
_cell_length_c 5.643
_cell_angle_alpha 90.00
_cell_angle_beta 90.00
_cell_angle_gamma 90.00
loop_
_atom_site_label
_atom_site_type_symbol
_atom_site_fract_x
_atom_site_fract_y
_atom_site_fract_z
Li1 Li 0.247 0.750 0.125
Tl1 Tl 0.000 0.000 0.000
V1 V 0.000 0.000 0.500

---

# GGA-PBE CuHPtW2, optimized geometry
# * electronic total energy: -38.6 eV/cell
data_CuHPtW2
_symmetry_space_group_name_H-M 'P 4/m m m'
_symmetry_Int_Tables_number 123
_symmetry_space_group_name_Hall '-P 4 2'
_cell_length_a 3.889
_cell_length_b 3.889
_cell_length_c 4.129
_cell_angle_alpha 90.00
_cell_angle_beta 90.00
_cell_angle_gamma 90.00
loop_
_atom_site_label
_atom_site_type_symbol
_atom_site_fract_x
_atom_site_fract_y
_atom_site_fract_z
Cu1 Cu 0.000 0.000 0.000
H1 H 0.000 0.000 0.500
Pt1 Pt 0.500 0.500 0.000
W1 W 0.000 0.500 0.500